# 1
The following is a PBE-GGA calculation of a geometry-optimized GaFe2TeS structure, from Alexandria via LeMat-Bulk.

Summary:
**Total magnetic moment**: 6.23 μB/f.u.
**Crystal system**: tetragonal
**Formation energy (no corrections)**: 1.1633 eV per atom

Cell lengths 4.6003, 4.6003, 5.0451 Å; angles 90.00, 90.00, 90.00 degrees
With the nearest neighbours (Å) after each atom.
Fractional coordinates of all 5 atoms:
Te 0.0000 0.0000 0.5000  2 Ga 2.52
Ga 0.0000 0.0000 0.0000  4 Fe 2.30, 2 Te 2.52
Fe 0.0000 0.5000 0.0000  2 Ga 2.30
S 0.5000 0.5000 0.5000  4 Te 3.25, 8 Fe 3.41
Fe 0.5000 0.0000 0.0000  2 Ga 2.30


# 2
The following is a PBE-GGA calculation of a geometry-optimized SrCrAs2Ru structure, from Alexandria via LeMat-Bulk.

Summary:
**Formation energy from the elements**: -56 kJ/mol of atoms
**Total magnetic moment**: 2.63 μB/f.u.
**Crystal system**: tetragonal

Cell lengths 4.1132, 4.1132, 6.6543 Å; angles 108.00, 108.00, 90.00 degrees
With the nearest neighbours (Å) after each atom.
Fractional coordinates of all 5 atoms:
As 0.6372 0.6372 0.2743  2 Ru 2.46, 2 Cr 2.46
Ru 0.2500 0.7500 0.5000  4 As 2.46
Cr 0.7500 0.2500 0.5000  4 As 2.46
Sr 0.0000 0.0000 0.0000  8 As 3.34, 4 Ru 3.63, 4 Cr 3.63
As 0.3628 0.3628 0.7257  2 Cr 2.46, 2 Ru 2.46


# 3
The following is a PBE-GGA calculation of a geometry-optimized Zr2Cr2Ge structure, from Alexandria via LeMat-Bulk.

Summary:
**Formation energy from the elements**: 31 kJ/mol of atoms
**Polymorph energy (0 for the lowest one)**: 1.95 eV per formula unit
**Total magnetic moment**: 0.00 μB/f.u.
**Crystal system**: tetragonal

Cell lengths 7.6713, 7.6713, 3.1505 Å; angles 90.00, 90.00, 90.00 degrees
With the nearest neighbours (Å) after each atom.
Fractional coordinates of all 10 atoms:
Zr 0.2010 0.2990 0.0000  2 Ge 2.76, 6 Cr 2.77-2.86
Cr 0.5894 0.9106 0.5000  1 Cr 1.94
Cr 0.9106 0.4106 0.5000  1 Cr 1.94
Cr 0.0894 0.5894 0.5000  1 Cr 1.94
Cr 0.4106 0.0894 0.5000  1 Cr 1.94
Zr 0.7010 0.2010 0.0000  2 Ge 2.76, 6 Cr 2.77-2.86
Ge 0.5000 0.5000 0.0000  4 Zr 2.76
Zr 0.7990 0.7010 0.0000  2 Ge 2.76, 6 Cr 2.77-2.86
Zr 0.2990 0.7990 0.0000  2 Ge 2.76, 6 Cr 2.77-2.86
Ge 0.0000 0.0000 0.0000  4 Zr 2.76


# 4
The following is a PBE-GGA calculation of a geometry-optimized Na2PtCl6 structure, from Alexandria via LeMat-Bulk.

Summary:
**Polymorph energy (0 for the lowest one)**: 0.00 eV per formula unit
**Total magnetic moment**: 0.00 μB/f.u.
**Crystal system**: monoclinic
**Formation energy (no corrections)**: -1.0815 eV per atom

Cell lengths 6.6764, 6.9695, 9.6331 Å; angles 90.00, 92.13, 90.00 degrees
With the nearest neighbours (Å) after each atom.
Fractional coordinates of all 18 atoms:
Cl 0.3245 0.7794 0.0598  1 Pt 2.35
Cl 0.3814 0.5337 0.7686  1 Pt 2.35
Cl 0.6186 0.4663 0.2314  1 Pt 2.35
Na 0.4703 0.0842 0.2671  6 Cl 2.86-3.07
Cl 0.2816 0.8137 0.4487  1 Pt 2.35
Cl 0.1755 0.2794 0.4402  1 Pt 2.35
Na 0.0297 0.5842 0.2329  6 Cl 2.86-3.07
Cl 0.8245 0.7206 0.5598  1 Pt 2.35
Cl 0.8814 0.9663 0.2686  1 Pt 2.35
Na 0.5297 0.9158 0.7329  6 Cl 2.86-3.07
Cl 0.2184 0.3137 0.0513  1 Pt 2.35
Cl 0.6755 0.2206 0.9402  1 Pt 2.35
Cl 0.1186 0.0337 0.7314  1 Pt 2.35
Pt 0.5000 0.5000 0.0000  6 Cl 2.35
Cl 0.7184 0.1863 0.5513  1 Pt 2.35
Na 0.9703 0.4158 0.7671  6 Cl 2.86-3.07
Pt 0.0000 0.0000 0.5000  6 Cl 2.35
Cl 0.7816 0.6863 0.9487  1 Pt 2.35


# 5
The following is a PBE-GGA calculation of a geometry-optimized Ta2Hg structure, from Alexandria via LeMat-Bulk.

Summary:
**Formation energy from the elements**: 91 kJ/mol of atoms
**Total magnetic moment**: 0.00 μB/f.u.
**Crystal system**: tetragonal

Cell lengths 3.9470, 3.9470, 4.2407 Å; angles 90.00, 90.00, 90.00 degrees
With the nearest neighbours (Å) after each atom.
Fractional coordinates of all 3 atoms:
Hg 0.0000 0.0000 0.0000  8 Ta 2.90
Ta 0.5000 0.0000 0.5000  4 Ta 2.79, 4 Hg 2.90
Ta 0.0000 0.5000 0.5000  4 Ta 2.79, 4 Hg 2.90


# 6
The following is a PBE-GGA calculation of a geometry-optimized Zn2Ni2B structure, from Alexandria via LeMat-Bulk.

Summary:
**Formation energy from the elements**: -11 kJ/mol of atoms
**Total magnetic moment**: 0.00 μB/f.u.
**Crystal system**: tetragonal

Cell lengths 5.2891, 5.2891, 4.1082 Å; angles 90.00, 90.00, 90.00 degrees
With the nearest neighbours (Å) after each atom.
Fractional coordinates of all 10 atoms:
Zn 0.6639 0.8361 0.5000  6 Ni 2.43-2.69, 1 Zn 2.45
Zn 0.1639 0.6639 0.5000  6 Ni 2.43-2.69, 1 Zn 2.45
Ni 0.6633 0.1633 0.0000  2 B 1.98
Zn 0.8361 0.3361 0.5000  6 Ni 2.43-2.69, 1 Zn 2.45
Ni 0.8367 0.6633 0.0000  2 B 1.98
B 0.5000 0.5000 0.0000  4 Ni 1.98
Zn 0.3361 0.1639 0.5000  6 Ni 2.43-2.69, 1 Zn 2.45
Ni 0.1633 0.3367 0.0000  2 B 1.98
B 0.0000 0.0000 0.0000  4 Ni 1.98
Ni 0.3367 0.8367 0.0000  2 B 1.98


# 7
The following is a PBE-GGA calculation of a geometry-optimized VAsP structure, from Alexandria via LeMat-Bulk.

Summary:
**Formation energy from the elements**: -25 kJ/mol of atoms
**Polymorph energy (0 for the lowest one)**: 0.02 eV per formula unit
**Total magnetic moment**: 0.40 μB/f.u.
**Crystal system**: tetragonal

Cell lengths 3.0538, 3.0538, 5.1110 Å; angles 90.00, 90.00, 90.00 degrees
With the nearest neighbours (Å) after each atom.
Fractional coordinates of all 3 atoms:
P 0.5000 0.5000 0.8376  1 As 2.39, 4 V 2.46
V 0.0000 0.0000 0.6055  4 P 2.46, 4 As 2.65
As 0.5000 0.5000 0.3052  1 P 2.39, 4 V 2.65


# 8
The following is a PBE-GGA calculation of a geometry-optimized SrAcGaO4 structure, from Alexandria via LeMat-Bulk.

Summary:
**Total magnetic moment**: 0.00 μB/f.u.
**Crystal system**: orthorhombic
**Formation energy (no corrections)**: -2.6473 eV per atom

Cell lengths 5.9599, 5.9599, 7.5074 Å; angles 90.00, 90.00, 116.61 degrees
With the nearest neighbours (Å) after each atom.
Fractional coordinates of all 14 atoms:
O 0.7976 0.7420 0.2500  1 Ga 1.90
Ga 0.8497 0.1503 0.7500  4 O 1.85-1.90
O 0.2024 0.2580 0.7500  1 Ga 1.90
O 0.2580 0.2024 0.2500  1 Ga 1.90
O 0.7425 0.2575 0.5508  1 Ga 1.85
O 0.7420 0.7976 0.7500  1 Ga 1.90
Sr 0.5000 0.5000 0.0000  6 O 2.49-2.54
O 0.2575 0.7425 0.4492  1 Ga 1.85
Ga 0.1503 0.8497 0.2500  4 O 1.85-1.90
Ac 0.1713 0.8287 0.7500  4 O 2.42-2.48
Ac 0.8287 0.1713 0.2500  4 O 2.42-2.48
O 0.2575 0.7425 0.0508  1 Ga 1.85
Sr 0.5000 0.5000 0.5000  6 O 2.49-2.54
O 0.7425 0.2575 0.9492  1 Ga 1.85


# 9
The following is a PBE-GGA calculation of a geometry-optimized Sc6In5Cu structure, from Alexandria via LeMat-Bulk.

Summary:
**Formation energy from the elements**: -37 kJ/mol of atoms
**Total magnetic moment**: 1.32 μB/f.u.
**Crystal system**: orthorhombic

Cell lengths 4.6766, 7.9675, 7.4213 Å; angles 90.00, 71.63, 90.00 degrees
With the nearest neighbours (Å) after each atom.
Fractional coordinates of all 12 atoms:
Sc 0.5000 0.2383 0.0000  6 In 2.99-3.15, 2 Cu 3.01, 4 Sc 3.27
Cu 0.0000 0.0000 0.0000  8 Sc 3.00-3.01, 4 In 3.28
Sc 0.8374 0.7571 0.3253  1 Cu 3.00, 7 In 3.04-3.15, 2 Sc 3.27
In 0.3362 0.0000 0.3275  8 Sc 2.99-3.12, 2 Cu 3.28
In 0.6638 0.0000 0.6725  8 Sc 2.99-3.12, 2 Cu 3.28
Sc 0.5000 0.7617 0.0000  6 In 2.99-3.15, 2 Cu 3.01, 4 Sc 3.27
In 0.3327 0.5000 0.3346  8 Sc 3.11-3.15, 4 In 3.30-3.32
Sc 0.1626 0.7571 0.6747  1 Cu 3.00, 7 In 3.04-3.15, 2 Sc 3.27
In 0.0000 0.5000 0.0000  8 Sc 3.07-3.13, 4 In 3.32
In 0.6673 0.5000 0.6654  8 Sc 3.11-3.15, 4 In 3.30-3.32
Sc 0.1626 0.2429 0.6747  1 Cu 3.00, 7 In 3.04-3.15, 2 Sc 3.27
Sc 0.8374 0.2429 0.3253  1 Cu 3.00, 7 In 3.04-3.15, 2 Sc 3.27


# 10
The following is a PBE-GGA calculation of a geometry-optimized CrSi4P structure, from Alexandria via LeMat-Bulk.

Summary:
**Total magnetic moment**: 3.00 μB/f.u.
**Crystal system**: cubic
**Formation energy (no corrections)**: 0.5748 eV per atom

Cell lengths 4.9880, 4.9880, 4.9880 Å; angles 60.00, 60.00, 60.00 degrees
With the nearest neighbours (Å) after each atom.
Fractional coordinates of all 6 atoms:
P 0.0000 0.0000 0.0000  12 Si 2.92, 4 Cr 3.05
Si 0.8756 0.3748 0.3748  6 Si 2.49-2.50
Si 0.3748 0.8756 0.3748  6 Si 2.49-2.50
Si 0.3748 0.3748 0.3748  6 Si 2.49-2.50
Cr 0.7500 0.7500 0.7500  12 Si 2.92, 4 P 3.05
Si 0.3748 0.3748 0.8756  6 Si 2.49-2.50


# 11
The following is a PBE-GGA calculation of a geometry-optimized KPuSn structure, from Alexandria via LeMat-Bulk.

Summary:
**Formation energy from the elements**: 36 kJ/mol of atoms
**Total magnetic moment**: 0.49 μB/f.u.
**Crystal system**: monoclinic

Cell lengths 3.4351, 12.1365, 6.3382 Å; angles 54.56, 90.00, 98.14 degrees
With the nearest neighbours (Å) after each atom.
Fractional coordinates of all 6 atoms:
Pu 0.7854 0.5708 0.3849  2 Pu 2.25
K 0.6012 0.2024 0.4070  2 K 3.44, 6 Sn 3.66-3.83
Sn 0.9418 0.8837 0.9906  1 Sn 2.87, 1 Pu 3.06
Pu 0.2146 0.4292 0.6151  2 Pu 2.25
K 0.3988 0.7976 0.5930  2 K 3.44, 6 Sn 3.66-3.83
Sn 0.0582 0.1163 0.0094  1 Sn 2.87, 1 Pu 3.06


# 12
The following is a PBE-GGA calculation of a geometry-optimized GeBS3 structure, from Alexandria via LeMat-Bulk.

Summary:
**Polymorph energy (0 for the lowest one)**: 3.81 eV per formula unit
**Total magnetic moment**: 0.00 μB/f.u.
**Crystal system**: cubic
**Formation energy (no corrections)**: 0.5659 eV per atom

Cell lengths 4.2385, 4.2385, 4.2385 Å; angles 90.00, 90.00, 90.00 degrees
With the nearest neighbours (Å) after each atom.
Fractional coordinates of all 5 atoms:
S 0.0000 0.5000 0.0000  2 B 2.12
B 0.0000 0.0000 0.0000  6 S 2.12
Ge 0.5000 0.5000 0.5000  12 S 3.00
S 0.0000 0.0000 0.5000  2 B 2.12
S 0.5000 0.0000 0.0000  2 B 2.12